Record 1
GGA-PBE Pm5Y2Er12, relaxed; symmetry = P-1 (2); formation energy from the elements = 1.19 eV/f.u.; magnetic moment = 0.0 μB per formula unit
1.0
-3.690 4.988 -0.859
2.498 -0.044 -8.674
-9.774 -7.622 6.073
Er Pm Y
12 5 2
Cartesian
-2.621 -1.721 -2.819 Er
-5.465 -0.480 1.379 Er
-10.028 -5.219 3.038 Er
-3.362 4.249 -2.354 Er
-7.605 -6.927 -1.106 Er
-7.654 -3.960 0.840 Er
-8.346 -0.957 -0.641 Er
-4.989 -5.536 -3.290 Er
-5.502 -2.198 -4.839 Er
-3.313 1.282 -4.300 Er
-0.939 2.541 -6.498 Er
-5.978 2.858 -0.170 Er
-5.793 0.220 -2.232 Pm
-4.887 -3.811 3.037 Pm
-0.304 -0.604 -4.957 Pm
-10.663 -2.074 1.498 Pm
-5.174 -2.898 -1.228 Pm
-8.162 -3.760 -2.628 Y
-2.805 1.082 -0.832 Y

---

Record 2
GGA-PBE Pm4Y4Er5, relaxed; symmetry = I4/m (87); formation energy from the elements = 0.27 eV/f.u.; magnetic moment = 0.0 μB per formula unit
1.0
4.883 0.000 1.242
2.442 9.114 0.621
0.196 0.000 9.454
Pm Y Er
4 4 5
Cartesian
5.766 4.201 7.995 Pm
3.673 6.328 6.003 Pm
1.755 4.913 3.321 Pm
3.848 2.786 5.313 Pm
6.468 8.422 5.234 Y
4.713 3.479 1.912 Y
1.053 0.692 6.083 Y
2.808 5.635 9.404 Y
0.000 0.000 0.000 Er
5.591 7.734 8.684 Er
4.543 7.039 2.579 Er
1.930 1.380 2.632 Er
2.978 2.076 8.737 Er